Ce3DyBi4 | GGA-PBE | optimized geometry

```
data_Ce3DyBi4
_symmetry_space_group_name_H-M 'P 1'
_symmetry_Int_Tables_number 1
_symmetry_space_group_name_Hall 'P 1'
_cell_length_a 9.131
_cell_length_b 12.921
_cell_length_c 4.578
_cell_angle_alpha 90.00
_cell_angle_beta 90.00
_cell_angle_gamma 90.00
loop_
_atom_site_label
_atom_site_type_symbol
_atom_site_fract_x
_atom_site_fract_y
_atom_site_fract_z
Ce1 Ce 0.000 0.000 0.000
Ce2 Ce 0.250 0.250 0.500
Ce3 Ce 0.250 0.750 0.500
Ce4 Ce 0.500 0.500 0.000
Ce5 Ce 0.750 0.250 0.500
Ce6 Ce 0.750 0.750 0.500
Dy1 Dy 0.000 0.500 0.000
Dy2 Dy 0.500 0.000 0.000
Bi1 Bi 0.000 0.252 0.000
Bi2 Bi 0.000 0.748 0.000
Bi3 Bi 0.245 0.500 0.500
Bi4 Bi 0.255 0.000 0.500
Bi5 Bi 0.500 0.248 0.000
Bi6 Bi 0.500 0.752 0.000
Bi7 Bi 0.745 0.000 0.500
Bi8 Bi 0.755 0.500 0.500
```

Results
Excess energy over the best structure of this formula in the dataset, meV per atom: 0.0
Electronic total energy, eV/cell: -88.72
Theoretical density, g cm⁻³: 8.7
ΔE_f, eV/f.u.: -6.431